The following is a DFT calculation (PBE) of a geometry-optimized Cd2NiIrPd structure.

```
Cd2NiIrPd
1.0
4.780 0.000 0.000
0.000 4.780 0.000
0.000 0.000 4.444
Cd Ni Ir Pd
2 1 1 1
direct
0.000 0.500 0.000
0.500 0.000 0.000
0.000 0.000 0.000
0.000 0.000 0.500
0.500 0.500 0.500
```

DFT total energy = -3.611 eV/atom
V = 20.3 A^3/atom
N(E_F) = 0.85 states/eV/atom